DFT (GGA-PBE) results for KCaW2 after structural relaxation.

Unit cell a=2.8096 b=2.8096 c=11.7087 alpha=90.00 beta=90.00 gamma=90.00
Fractional coordinates of all 4 atoms:
Ca (0.0000, 0.0000, 0.4490)
K (0.5000, 0.5000, 0.7791)
W (0.0000, 0.0000, 0.0406)
W (0.5000, 0.5000, 0.2313)

Calculated values
VASP energy = -24.2 eV/cell
excess energy over the best structure of this formula in the dataset = 272 meV/atom
SG = P4mm
formation energy = 1.1945 eV per atom